A plane-wave DFT calculation with GGA-PBE was carried out for crystalline NbTcRuPb2 at its relaxed geometry.

Unit cell a=5.153 b=4.838 c=5.153 alpha=90.00 beta=90.00 gamma=90.00
Each line ends with the local moment (μB).
Element x y z (fractional)
Pb 0.000 0.000 0.500  -0.02
Pb 0.500 0.000 0.000  -0.03
Ru 0.000 0.000 0.000  0.01
Nb 0.000 0.500 0.000  -1.41
Tc 0.500 0.500 0.500  2.89

raw total energy	-6.097	eV per atom
Fermi-level density of states	1.15	states/eV/atom